First-principles (PBE-GGA) data for a relaxed LaDyCo crystal, as listed in the Alexandria database.

abc: 13.8237 3.9788 5.9180
angles: 90.00 101.10 90.00
Closest atoms and distances in Å follow each position.
Space group C2/m (No. 12)
Asymmetric unit:
La 0.0975 0.0000 0.3061  3 Co 2.66-2.92
Dy 0.1635 0.5000 0.8236  3 Co 2.75-2.95
Co 0.2269 0.5000 0.3282  3 La 2.66-2.92, 3 Dy 2.75-2.95, 2 Co 2.83

Calculated values
Distance to the lowest polymorph of the same formula   0.000 eV per formula unit
ρ   7.5 g cm⁻³
Calculated formation energy   -42 kJ/mol of formula units